Compound: Pu2GeH
Source: Alexandria via LeMat-Bulk
Functional: PBE
Structure: optimized geometry

```
Pu2GeH
1.0
-0.338 -3.145 -0.374
1.119 0.233 -2.973
6.780 -1.022 2.473
H Pu Ge
1 2 1
Cartesian
3.781 -1.967 -0.437 H
1.916 -0.289 0.699 Pu
4.864 -0.733 1.774 Pu
0.391 -1.456 -1.673 Ge
```

Computed properties:
Relative energy among the computed polymorphs (meV per atom): 188.7
M_tot (μB per formula unit): 12.4
Symmetry: No. 123
Final energy (eV for the cell shown): -37.4

Compound: Be7P6
Source: Alexandria via LeMat-Bulk
Functional: PBE
Structure: optimized geometry

```
Be7P6
1.0
-1.854 -6.119 -6.550
0.087 -8.544 -3.282
-4.291 -7.501 -3.018
P Be
6 7
Cartesian
-4.037 -14.769 -8.562 P
-1.052 -3.849 -2.232 P
-5.533 -20.241 -11.735 P
-2.022 -7.395 -4.288 P
-5.006 -18.315 -10.618 P
-0.526 -1.924 -1.115 P
-1.406 -9.170 -5.970 Be
-3.029 -11.082 -6.425 Be
-2.502 -13.507 -7.010 Be
-3.455 -12.315 -8.615 Be
-3.556 -8.658 -5.840 Be
-4.653 -12.994 -6.880 Be
-2.603 -9.849 -4.235 Be
```

Computed properties:
M_tot (μB per formula unit): 0.0
Symmetry: No. 166
Final energy (eV for the cell shown): -55.0
Calculated formation energy (eV per atom): 0.275

Compound: Na4Ca2SiAs4
Source: Alexandria via LeMat-Bulk
Functional: PBE
Structure: optimized geometry

```
Na4Ca2SiAs4
1.0
-0.105 -2.902 -8.986
-1.430 -6.233 6.949
-7.098 0.966 -0.389
As Na Ca Si
8 8 4 2
Cartesian
-4.658 -3.012 -6.106 As
-4.764 -1.768 -2.332 As
-5.679 -4.445 1.314 As
-1.827 -6.709 0.045 As
-1.914 -5.520 3.776 As
-1.463 -2.874 0.844 As
-5.123 -5.589 -3.194 As
-1.700 -3.848 -3.662 As
-4.131 -6.899 2.142 Na
-5.562 -1.502 0.511 Na
-6.066 -6.790 -0.694 Na
-1.702 -3.163 -6.700 Na
-1.809 -1.472 -1.746 Na
-7.059 -4.853 -5.529 Na
-2.322 -6.784 -2.841 Na
-6.185 -5.026 4.332 Na
-3.508 -4.314 -0.804 Ca
-6.996 -3.676 -1.740 Ca
-3.497 -3.051 3.059 Ca
-6.415 -0.982 -4.726 Ca
-8.074 -4.125 1.244 Si
-4.084 -3.503 -3.850 Si
```

Computed properties:
M_tot (μB per formula unit): 0.0
Symmetry: No. 9
Final energy (eV for the cell shown): -81.8

Among the records above, which one has the highest M_tot? Pu2GeH